As2Pt2S after structural relaxation, computed with PBE.

Summary:
**Density of states at the Fermi level**: 4.8 states/eV per cell
**Symmetry**: P4/mbm (127)
**Uncorrected formation energy**: 0.583 eV/f.u.
**Energy above the most stable polymorph in this dataset**: 0 meV/atom

abc: 7.141 7.141 3.448
angles: 90.00 90.00 90.00
Sites, in units of the cell vectors:
As (0.151, 0.349, 0.000)
As (0.349, 0.849, 0.000)
As (0.651, 0.151, 0.000)
As (0.849, 0.651, 0.000)
Pt (0.140, 0.640, 0.500)
Pt (0.360, 0.140, 0.500)
Pt (0.640, 0.860, 0.500)
Pt (0.860, 0.360, 0.500)
S (0.000, 0.000, 0.500)
S (0.500, 0.500, 0.500)